Record 1
The following is a GGA-PBE calculation of CrS4 after structural relaxation, from Alexandria.

Cell: 6.258 3.187 9.552 Å, 90.00 97.07 90.00°
Space group C2/m (No. 12)
Symmetry-distinct sites (fractional):
Cr 0.000 0.000 0.000 x2
S 0.206 0.500 0.139 x4
S 0.234 0.000 0.425 x4

Results
total energy = -5.374 eV per atom

=====

Record 2
The following is a GGA-PBE calculation of Cr5S6 after structural relaxation, from Alexandria.

Cell: 6.0160 6.0160 11.2630 Å, 90.00 90.00 120.00°
Space group P-31c (No. 163)
Symmetry-distinct sites (fractional):
Cr 0.0000 0.0000 0.0000 x2
Cr 0.0000 0.0000 0.2500 x2
Cr 0.3333 0.6667 0.0104 x4
Cr 0.3333 0.6667 0.7500 x2
S 0.0113 0.3378 0.8780 x12

Results
total energy = -7.231 eV per atom

=====

Record 3
The following is a GGA-PBE calculation of Cr4S after structural relaxation, from Alexandria.

Cell: 4.224 4.224 4.224 Å, 90.00 90.00 90.00°
Space group Pm-3m (No. 221)
Symmetry-distinct sites (fractional):
Cr 0.000 0.000 0.000 x1
Cr 0.000 0.500 0.500 x3
S 0.500 0.500 0.500 x1

Results
total energy = -8.075 eV per atom

=====

Record 4
The following is a GGA-PBE calculation of Cr3S4 after structural relaxation, from Alexandria.

Cell: 12.625 3.459 6.073 Å, 90.00 116.97 90.00°
Space group C2/m (No. 12)
Symmetry-distinct sites (fractional):
Cr 0.000 0.000 0.000 x2
Cr 0.236 0.500 0.719 x4
S 0.125 0.000 0.448 x4
S 0.134 0.500 0.980 x4

Results
total energy = -7.144 eV per atom